Arrangement a

Material: AcMgSn
Method: DFT, PBE
State: relaxed

Cell and atoms, written as POSCAR:
```
AcMgSn
1.0
-0.983 -4.490 1.914
4.056 0.676 -2.808
6.840 3.024 10.607
Ac Mg Sn
3 3 3
Direct
0.495 0.990 0.000 Ac
0.495 0.989 0.668 Ac
0.495 0.989 0.332 Ac
0.828 0.656 0.141 Mg
0.828 0.656 0.859 Mg
0.161 0.323 0.500 Mg
0.161 0.323 0.182 Sn
0.161 0.323 0.818 Sn
0.828 0.656 0.500 Sn
```

Output
Fermi-level density of states ... 4.16 states/eV/cell
Calculated volume ... 31.0 Å³/atom

Arrangement b

Material: AcMgSn
Method: DFT, PBE
State: relaxed

Cell and atoms, written as POSCAR:
```
AcMgSn
1.0
5.021 0.000 0.000
0.000 5.021 0.000
-2.511 -2.511 8.022
Sn Ac Mg
2 2 2
Direct
0.149 0.149 0.298 Sn
0.851 0.851 0.702 Sn
0.000 0.500 0.000 Ac
0.500 0.000 0.000 Ac
0.673 0.673 0.345 Mg
0.327 0.327 0.655 Mg
```

Output
Fermi-level density of states ... 5.19 states/eV/cell
Calculated volume ... 33.7 Å³/atom

Pick arrangement a: it beats the second-best structure by 419 meV per atom.

Arrangement a

Material: Ac4MgSn2
Method: DFT, PBE
State: relaxed

Cell and atoms, written as POSCAR:
```
Ac4MgSn2
1.0
6.610 0.000 0.757
0.000 7.312 0.000
-1.214 0.000 10.632
Ac Mg Sn
8 2 4
Direct
0.399 0.503 0.250 Ac
0.158 0.750 0.937 Ac
0.842 0.250 0.063 Ac
0.399 0.997 0.250 Ac
0.842 0.250 0.438 Ac
0.601 0.003 0.750 Ac
0.601 0.497 0.750 Ac
0.158 0.750 0.562 Ac
0.917 0.750 0.250 Mg
0.083 0.250 0.750 Mg
0.670 0.750 0.024 Sn
0.330 0.250 0.976 Sn
0.330 0.250 0.524 Sn
0.670 0.750 0.476 Sn
```

Output
Fermi-level density of states ... 16.60 states/eV/cell
Calculated volume ... 37.2 Å³/atom

Arrangement b

Material: Ac4MgSn2
Method: DFT, PBE
State: relaxed

Cell and atoms, written as POSCAR:
```
Ac4MgSn2
1.0
-2.493 -0.249 4.805
2.529 -6.525 0.975
5.088 3.991 2.847
Ac Mg Sn
4 1 2
Direct
0.000 0.765 0.765 Ac
0.000 0.235 0.235 Ac
0.500 0.000 0.500 Ac
0.500 0.500 0.000 Ac
0.500 0.500 0.500 Mg
0.000 0.738 0.262 Sn
0.000 0.262 0.738 Sn
```

Output
Fermi-level density of states ... 7.17 states/eV/cell
Calculated volume ... 37.8 Å³/atom

Pick arrangement a: it beats the second-best structure by 50 meV per atom.